[1]
DFT (PBE-GGA) results for a geometry-optimized ScMoC3 structure.

Lattice parameters (Å, degrees): 4.034 4.034 4.034 90.00 90.00 90.00
Space group Pm-3m (No. 221)
Symmetry-distinct sites (fractional):
Sc: 0.000 0.000 0.000
Mo: 0.500 0.500 0.500
C: 0.000 0.500 0.500

Calculated values
The value obtained for the formation energy is 1.111 eV per atom. The calculation puts the density of states at the Fermi level at 2.69 states/eV/f.u. The value obtained for the energy is -7.856 eV/atom.

[2]
DFT (PBE-GGA) results for a geometry-optimized ZrBeTe2Pb structure.

Lattice parameters (Å, degrees): 5.595 5.595 6.554 90.00 90.00 90.00
Space group P4/mmm (No. 123)
Symmetry-distinct sites (fractional):
Zr: 0.000 0.000 0.000
Be: 0.500 0.500 0.500
Te: 0.000 0.500 0.000
Pb: 0.000 0.000 0.500

Calculated values
The calculation puts the density of states at the Fermi level at 3.68 states/eV/f.u. The value obtained for the energy is -3.843 eV/atom.

[3]
DFT (PBE-GGA) results for a geometry-optimized MgCuPb2 structure.

Lattice parameters (Å, degrees): 3.7671 3.7671 24.4518 90.00 90.00 120.00
Space group R-3m (No. 166, hexagonal axes)
Symmetry-distinct sites (fractional):
Mg: 0.0000 0.0000 0.0000
Cu: 0.0000 0.0000 0.5000
Pb: 0.0000 0.0000 0.2371

Calculated values
The value obtained for the formation energy is 0.143 eV per atom. The calculation puts the density of states at the Fermi level at 1.90 states/eV/f.u. The value obtained for the energy is -3.134 eV/atom.

[4]
DFT (PBE-GGA) results for a geometry-optimized Ca2TcW structure.

Lattice parameters (Å, degrees): 3.468 4.406 10.529 90.00 90.00 90.00
Space group Immm (No. 71)
Symmetry-distinct sites (fractional):
Ca: 0.000 0.000 0.224
Tc: 0.000 0.500 0.500
W: 0.000 0.500 0.000

Calculated values
The value obtained for the formation energy is 0.803 eV per atom. The calculation puts the density of states at the Fermi level at 2.43 states/eV/f.u. The value obtained for the energy is -6.027 eV/atom.

[5]
DFT (PBE-GGA) results for a geometry-optimized Pm8CdOs2 structure.

Lattice parameters (Å, degrees): 8.951 13.376 5.669 90.00 103.11 90.00
Space group C2/m (No. 12)
Symmetry-distinct sites (fractional):
Pm: 0.000 0.249 0.000
Pm: 0.115 0.000 0.795
Pm: 0.195 0.369 0.575
Cd: 0.000 0.500 0.000
Os: 0.000 0.188 0.500

Calculated values
The value obtained for the formation energy is -0.073 eV per atom. The calculation puts the density of states at the Fermi level at 13.04 states/eV/f.u. The value obtained for the energy is -5.653 eV/atom.

[6]
DFT (PBE-GGA) results for a geometry-optimized Sm12ErTh5 structure.

Lattice parameters (Å, degrees): 15.277 15.336 5.104 90.00 90.00 90.00
Space group Cmmm (No. 65)
Symmetry-distinct sites (fractional):
Sm: 0.000 0.159 0.000
Sm: 0.000 0.336 0.500
Sm: 0.166 0.339 0.000
Sm: 0.167 0.160 0.500
Er: 0.000 0.500 0.000
Th: 0.000 0.000 0.500
Th: 0.165 0.500 0.500
Th: 0.168 0.000 0.000

Calculated values
The value obtained for the formation energy is 0.033 eV per atom. The calculation puts the density of states at the Fermi level at 25.95 states/eV/f.u. The value obtained for the energy is -5.428 eV/atom.